A plane-wave DFT calculation with PBE was carried out for a relaxed Ca2Mg2Cu crystal.

Calculated values
* ΔE_f: -0.02 eV/atom
* total magnetic moment: 0.00 μB/cell
* crystal system: monoclinic
* Fermi-level density of states: 0.70 states/eV per atom

The structure in POSCAR format:
```
Ca2Mg2Cu
1.0
3.2776 6.2535 0.0115
-3.2776 6.2535 0.0115
0.0000 2.0270 6.7550
Mg Ca Cu
4 4 2
Direct
0.4619 0.3165 0.6283
0.6835 0.5381 0.8717
0.3165 0.4619 0.1283
0.5381 0.6835 0.3717
0.9287 0.7954 0.5000
0.0713 0.2046 0.5000
0.2046 0.0713 0.0000
0.7954 0.9287 0.0000
0.2676 0.7324 0.7500
0.7324 0.2676 0.2500
```